A relaxed structure of Ba3Co6Ge. Source: OQMD via LeMat-Bulk, functional PBE.

a b c (Å): 6.6681 6.6681 12.1103
angles (deg): 90.00 90.00 90.00
Closest atoms and distances in Å follow each position.
Space group I4/mmm (No. 139)
One atom of each set of equivalent atoms:
Ba  0.0000  0.0000  0.0000 (multiplicity 2)  10 Co 3.50-3.82
Ba  0.0000  0.5000  0.2500 (multiplicity 4)  8 Co 3.21-3.43
Co  0.0000  0.0000  0.3155 (multiplicity 4)  1 Ge 2.23
Co  0.0000  0.3390  0.5000 (multiplicity 8)  1 Co 2.15, 1 Ge 2.26
Ge  0.0000  0.0000  0.5000 (multiplicity 2)  6 Co 2.23-2.26

---

A relaxed structure of BaCoGe2Ir. Source: OQMD via LeMat-Bulk, functional PBE.

a b c (Å): 4.1292 4.1292 12.3262
angles (deg): 90.00 90.00 90.00
Closest atoms and distances in Å follow each position.
Space group I-4m2 (No. 119)
One atom of each set of equivalent atoms:
Ba  0.0000  0.0000  0.0000 (multiplicity 2)  8 Ge 3.44, 4 Co 3.71, 4 Ir 3.71
Co  0.0000  0.5000  0.2500 (multiplicity 2)  4 Ge 2.42
Ge  0.0000  0.0000  0.3520 (multiplicity 4)  2 Co 2.42, 2 Ir 2.42
Ir  0.0000  0.5000  0.7500 (multiplicity 2)  4 Ge 2.42

---

A relaxed structure of BaMgCoGe2. Source: OQMD via LeMat-Bulk, functional PBE.

a b c (Å): 4.3127 4.3127 11.9564
angles (deg): 90.00 90.00 90.00
Closest atoms and distances in Å follow each position.
Space group I-4m2 (No. 119)
One atom of each set of equivalent atoms:
Ba  0.0000  0.0000  0.0000 (multiplicity 2)  8 Ge 3.45, 4 Co 3.69, 4 Mg 3.69
Mg  0.0000  0.5000  0.7500 (multiplicity 2)  4 Ge 2.55
Co  0.0000  0.5000  0.2500 (multiplicity 2)  4 Ge 2.55
Ge  0.0000  0.0000  0.3643 (multiplicity 4)  2 Co 2.55, 2 Mg 2.55

---

A relaxed structure of BaMg2CoGe2. Source: OQMD via LeMat-Bulk, functional PBE.

a b c (Å): 4.2172 4.2172 8.4434
angles (deg): 90.00 90.00 90.00
Closest atoms and distances in Å follow each position.
Space group P4mm (No. 99)
One atom of each set of equivalent atoms:
Ba  0.0000  0.0000  0.0000 (multiplicity 1)  5 Ge 3.28-3.35
Mg  0.0000  0.5000  0.3855 (multiplicity 2)  4 Ge 2.72-2.84, 2 Co 2.73, 4 Mg 2.98
Co  0.5000  0.5000  0.5905 (multiplicity 1)  4 Mg 2.73, 4 Ge 2.99
Ge  0.0000  0.0000  0.6114 (multiplicity 1)  4 Mg 2.84, 4 Co 2.99
Ge  0.5000  0.5000  0.1810 (multiplicity 1)  4 Mg 2.72

---

Calculated total energy, -4.5451; -5.9099; -4.2009; -3.5393 eV per atom (same order as the records).
Calculated total magnetization, 16.8; 0.0; 2.2; 2.0 μB/cell (same order as the records).